Below is a relaxed structure of RbNiF5, with properties calculated at the PBE with a Hubbard U level.

Output
E_tot: -3.594 eV/atom
Calculated density: 3.72 g cm⁻³
Space group: C2/c

a = 5.5263 Å, b = 5.5263 Å, c = 8.0905 Å
α = 110.21°, β = 110.21°, γ = 73.19°
Last column: nearest neighbours and their distance in Å.
Atoms (fractional coordinates):
Rb  0.0006  0.9994  0.7500  14 F 3.04-3.30
Rb  0.9994  0.0006  0.2500  14 F 3.04-3.30
Ni  0.5000  0.5000  0.0000  4 F 1.78
Ni  0.5000  0.5000  0.5000  4 F 1.78
F  0.1513  0.5380  0.9236  1 Ni 1.78
F  0.1507  0.5427  0.4250  1 Ni 1.78
F  0.4573  0.8493  0.0750  1 Ni 1.78
F  0.4620  0.8487  0.5764  1 Ni 1.78
F  0.4995  0.5005  0.2500  2 Ni 2.02
F  0.5005  0.4995  0.7500  2 Ni 2.02
F  0.5380  0.1513  0.4236  1 Ni 1.78
F  0.5427  0.1507  0.9250  1 Ni 1.78
F  0.8493  0.4573  0.5750  1 Ni 1.78
F  0.8487  0.4620  0.0764  1 Ni 1.78